No. 1
! SrNdPtRh, optimized geometry, DFT GGA-PBE; values from VASP
&SYSTEM
  ibrav = 0, nat = 16, ntyp = 4
/
ATOMIC_SPECIES
Sr 87.62 Sr.upf
Nd 144.24 Nd.upf
Pt 195.08 Pt.upf
Rh 102.91 Rh.upf
CELL_PARAMETERS angstrom
7.2065 0.0000 0.0000
0.0000 7.2065 0.0000
0.0000 0.0000 7.2065
ATOMIC_POSITIONS crystal
Sr 0.0000 0.0000 0.0000
Sr 0.0000 0.5000 0.5000
Sr 0.5000 0.0000 0.5000
Sr 0.5000 0.5000 0.0000
Nd 0.0000 0.0000 0.5000
Nd 0.0000 0.5000 0.0000
Nd 0.5000 0.0000 0.0000
Nd 0.5000 0.5000 0.5000
Pt 0.2500 0.2500 0.2500
Pt 0.2500 0.7500 0.7500
Pt 0.7500 0.2500 0.7500
Pt 0.7500 0.7500 0.2500
Rh 0.2500 0.2500 0.7500
Rh 0.2500 0.7500 0.2500
Rh 0.7500 0.2500 0.2500
Rh 0.7500 0.7500 0.7500
! **Density**: 9.4 g cm⁻³
! **Uncorrected energy**: -89.2 eV/cell
! **Energy relative to the elements**: -2.46 eV/f.u.
! **Total magnetic moment**: 0.0 μB/f.u.
! **Space-group type**: F-43m
! **DOS at the Fermi energy**: 12.41 states/eV/cell


No. 2
! Ca2MnAuN, optimized geometry, DFT GGA-PBE; values from VASP
&SYSTEM
  ibrav = 0, nat = 5, ntyp = 4
/
ATOMIC_SPECIES
Ca 40.08 Ca.upf
Mn 54.94 Mn.upf
Au 196.97 Au.upf
N 14.01 N.upf
CELL_PARAMETERS angstrom
5.0295 0.0000 0.0000
0.0000 5.0295 0.0000
0.0000 0.0000 3.7999
ATOMIC_POSITIONS crystal
Ca 0.0000 0.5000 0.0000
Ca 0.5000 0.0000 0.0000
Mn 0.0000 0.0000 0.5000
Au 0.5000 0.5000 0.5000
N 0.0000 0.0000 0.0000
! **Density**: 6.0 g cm⁻³
! **Uncorrected energy**: -27.9 eV/cell
! **Total magnetic moment**: 3.0 μB/f.u.
! **Raw formation energy**: -3.16 eV per formula unit
! **Space-group type**: P4/mmm
! **DOS at the Fermi energy**: 2.83 states/eV/cell


No. 3
! Al2Si2Au, optimized geometry, DFT GGA-PBE; values from VASP
&SYSTEM
  ibrav = 0, nat = 10, ntyp = 3
/
ATOMIC_SPECIES
Al 26.98 Al.upf
Si 28.09 Si.upf
Au 196.97 Au.upf
CELL_PARAMETERS angstrom
3.3892 0.0000 0.0000
0.0000 3.3892 0.0000
0.0000 0.0000 14.8263
ATOMIC_POSITIONS crystal
Al 0.0000 0.0000 0.1013
Al 0.0000 0.0000 0.8987
Al 0.5000 0.5000 0.3987
Al 0.5000 0.5000 0.6013
Si 0.0000 0.5000 0.2500
Si 0.0000 0.5000 0.7500
Si 0.5000 0.0000 0.2500
Si 0.5000 0.0000 0.7500
Au 0.0000 0.0000 0.5000
Au 0.5000 0.5000 0.0000
! **Density**: 6.0 g cm⁻³
! **Uncorrected energy**: -42.3 eV/cell
! **Polymorph energy (0 for the lowest one)**: 0 meV/atom
! **Total magnetic moment**: 0.0 μB/f.u.
! **Raw formation energy**: 0.44 eV per formula unit
! **Space-group type**: I4/mmm
! **DOS at the Fermi energy**: 3.88 states/eV/cell